No. 1
Tm4AlZnHg2 | PBE-GGA | relaxed

Values from the calculation:
Magnetic moment   0.0 Bohr magnetons per cell
ΔE_f   -393 meV per atom

abc: 5.1141 5.1141 25.1012
angles: 90.00 90.00 120.00
Last column: nearest neighbours and their distance in Å.
Space group R-3m (No. 166, hexagonal axes)
Unique sites:
Tm1 0.0000 0.0000 0.1239 (multiplicity 6)  1 Zn 3.11, 4 Hg 3.13-3.18, 3 Al 3.14
Tm2 0.0000 0.0000 0.3740 (multiplicity 6)  4 Hg 3.10-3.14, 3 Zn 3.12, 1 Al 3.16
Al1 0.0000 0.0000 0.5000 (multiplicity 3)  8 Tm 3.14-3.16
Zn1 0.0000 0.0000 0.0000 (multiplicity 3)  8 Tm 3.11-3.12
Hg1 0.0000 0.0000 0.2504 (multiplicity 6)  8 Tm 3.10-3.18

***

No. 2
Be3CdPb | PBE-GGA | relaxed

Values from the calculation:
Magnetic moment   0.0 Bohr magnetons per cell
ΔE_f   1295 meV per atom

abc: 4.7534 4.7534 4.7534
angles: 90.00 90.00 90.00
Last column: nearest neighbours and their distance in Å.
Space group Pm-3m (No. 221)
Unique sites:
Be1 0.0000 0.0000 0.5000 (multiplicity 3)  2 Pb 2.38
Cd1 0.5000 0.5000 0.5000 (multiplicity 1)  12 Be 3.36
Pb1 0.0000 0.0000 0.0000 (multiplicity 1)  6 Be 2.38

***

No. 3
Ti2PdRh | PBE-GGA | relaxed

Values from the calculation:
Magnetic moment   0.5 Bohr magnetons per cell
ΔE_f   -639 meV per atom

abc: 2.8855 2.8855 7.3693
angles: 90.00 90.00 90.00
Last column: nearest neighbours and their distance in Å.
Space group P4/mmm (No. 123)
Unique sites:
Ti1 0.0000 0.0000 0.2384 (multiplicity 2)  4 Rh 2.69, 4 Pd 2.81, 4 Ti 2.89
Pd1 0.5000 0.5000 0.5000 (multiplicity 1)  8 Ti 2.81, 4 Pd 2.89
Rh1 0.5000 0.5000 0.0000 (multiplicity 1)  8 Ti 2.69, 4 Rh 2.89

***

> Look up the magnetic moment of the first one.

0.0 Bohr magnetons per cell

***

> The highest magnetic moment belongs to which entry?

Ti2PdRh

***

Repeat the third record exactly.
Ti2PdRh | PBE-GGA | relaxed

Values from the calculation:
Magnetic moment   0.5 Bohr magnetons per cell
ΔE_f   -639 meV per atom

abc: 2.8855 2.8855 7.3693
angles: 90.00 90.00 90.00
Last column: nearest neighbours and their distance in Å.
Space group P4/mmm (No. 123)
Unique sites:
Ti1 0.0000 0.0000 0.2384 (multiplicity 2)  4 Rh 2.69, 4 Pd 2.81, 4 Ti 2.89
Pd1 0.5000 0.5000 0.5000 (multiplicity 1)  8 Ti 2.81, 4 Pd 2.89
Rh1 0.5000 0.5000 0.0000 (multiplicity 1)  8 Ti 2.69, 4 Rh 2.89